{
  "formula": "NdIrO5",
  "functional": "PBE",
  "state": "optimized geometry",
  "lattice": [[5.453, 0.118, -1.615], [-2.128, 5.260, -0.410], [-0.984, -0.569, 7.758]],
  "species": ["Nd", "Nd", "Ir", "Ir", "O", "O", "O", "O", "O", "O", "O", "O", "O", "O"],
  "fractional_positions": [[0.705, 0.455, 0.250], [0.295, 0.545, 0.750], [0.000, 0.000, 0.000], [0.500, 0.000, 0.500], [0.877, 0.197, 0.111], [0.165, 0.725, 0.469], [0.415, 0.234, 0.611], [0.339, 0.089, 0.250], [0.757, 0.696, 0.031], [0.243, 0.304, 0.969], [0.661, 0.911, 0.750], [0.585, 0.766, 0.389], [0.835, 0.275, 0.531], [0.123, 0.803, 0.889]],
  "spacegroup": "C2/c (15)",
  "final_energy_ev_per_fu": -48.85
}

{
  "formula": "LaSbF2",
  "functional": "PBE",
  "state": "optimized geometry",
  "lattice": [[-3.432, -1.306, 3.043], [-4.116, -1.749, -1.656], [-1.036, -4.618, 0.587]],
  "species": ["Sb", "F", "F", "La"],
  "fractional_positions": [[0.000, 0.000, 0.000], [0.250, 0.250, 0.250], [0.750, 0.750, 0.750], [0.500, 0.500, 0.500]],
  "e_above_lowest_polymorph_mev_per_atom": 711,
  "spacegroup": "Fm-3m (225)"
}

{
  "formula": "Np2MnIr",
  "functional": "PBE",
  "state": "optimized geometry",
  "lattice": [[-0.890, 1.646, 2.103], [0.778, -0.555, 2.648], [7.769, 6.006, 0.471]],
  "species": ["Np", "Np", "Ir", "Mn"],
  "fractional_positions": [[0.080, 0.080, 0.761], [0.920, 0.920, 0.239], [0.500, 0.500, 0.500], [0.000, 0.000, 0.000]],
  "ef_ev_per_atom": 0.304,
  "spacegroup": "R-3m (166)"
}

{
  "formula": "ZrAgRh",
  "functional": "PBE",
  "state": "optimized geometry",
  "lattice": [[4.482, 0.000, 0.000], [2.241, 3.882, 0.000], [2.241, 1.294, 3.660]],
  "species": ["Ag", "Rh", "Zr"],
  "fractional_positions": [[0.000, 0.000, 0.000], [0.500, 0.500, 0.500], [0.750, 0.750, 0.750]],
  "e_above_lowest_polymorph_mev_per_atom": 551,
  "ef_ev_per_atom": 0.136,
  "spacegroup": "F-43m (216)"
}

{
  "formula": "La3DyIn3",
  "functional": "PBE",
  "state": "optimized geometry",
  "lattice": [[6.851, 0.715, 0.231], [-2.413, 6.452, 0.231], [-0.492, -0.794, 9.899]],
  "species": ["La", "La", "La", "La", "La", "La", "Dy", "Dy", "In", "In", "In", "In", "In", "In"],
  "fractional_positions": [[0.596, 0.596, 0.319], [0.179, 0.821, 0.500], [0.821, 0.179, 0.500], [0.241, 0.759, 0.000], [0.759, 0.241, 0.000], [0.404, 0.404, 0.681], [0.723, 0.723, 0.959], [0.277, 0.277, 0.041], [0.977, 0.977, 0.227], [0.944, 0.525, 0.739], [0.525, 0.944, 0.739], [0.056, 0.475, 0.261], [0.475, 0.056, 0.261], [0.023, 0.023, 0.773]],
  "e_above_lowest_polymorph_mev_per_atom": 45,
  "ef_ev_per_atom": -0.298,
  "spacegroup": "C2/m (12)"
}

{
  "formula": "KSr4Cd",
  "functional": "PBE",
  "state": "optimized geometry",
  "lattice": [[-3.138, -6.574, 2.964], [-6.719, -2.827, -2.951], [0.045, -6.631, -4.227]],
  "species": ["K", "Sr", "Sr", "Sr", "Sr", "Cd"],
  "fractional_positions": [[0.000, 0.000, 0.000], [0.874, 0.375, 0.375], [0.375, 0.375, 0.874], [0.375, 0.874, 0.375], [0.375, 0.375, 0.375], [0.750, 0.750, 0.750]],
  "ef_ev_per_atom": 0.269,
  "spacegroup": "F-43m (216)"
}

| no. | theoretical density (kg/m3) |
| --- | --- |
| 1 | 6496 |
| 2 | 6467 |
| 3 | 17999 |
| 4 | 7875 |
| 5 | 6712 |
| 6 | 2424 |